# 1
The following is a DFT calculation (PBE-GGA) of an optimized crystal structure of CaEuSnAu.

ΔE_f = -0.7094 eV/atom
DOS at the Fermi energy = 12.28 states/eV/cell
SG = F-43m (216)
magnetic moment = 6.9 μB/cell
ρ = 7.72 g/cm³

Cell lengths 5.366, 5.366, 5.366 Å; angles 60.00, 60.00, 60.00 degrees
Atoms (fractional coordinates):
Ca  0.000  0.000  0.000
Eu  0.500  0.500  0.500
Sn  0.750  0.750  0.750
Au  0.250  0.250  0.250

---

# 2
The following is a DFT calculation (PBE-GGA) of an optimized crystal structure of CaEuZnAu.

ΔE_f = -0.5122 eV/atom
DOS at the Fermi energy = 8.04 states/eV/cell
SG = F-43m (216)
magnetic moment = 7.2 μB/cell
ρ = 7.45 g/cm³

Cell lengths 5.233, 5.233, 5.233 Å; angles 60.00, 60.00, 60.00 degrees
Atoms (fractional coordinates):
Ca  0.000  0.000  0.000
Eu  0.500  0.500  0.500
Zn  0.750  0.750  0.750
Au  0.250  0.250  0.250

---

Question: Which of these has the lowest ΔE_f?
Answer: CaEuSnAu